# 1
Computed, not measured: a relaxed structure of KCrCd2 at the PBE level of DFT.

Cell: 6.6020 6.6020 6.6020 Å, 151.79 128.88 59.41°
Positions (direct):
K 0.0000 0.0000 0.0000
Cr 0.7193 0.2193 0.5000
Cd 0.2788 0.7788 0.5000
Cd 0.5106 0.5106 0.0000

Values from the calculation:
Density (g cm⁻³): 4.99
Symmetry: No. 44
Energy of formation (eV/f.u.): 1.906

***

# 2
Computed, not measured: a relaxed structure of K2CrCd at the PBE level of DFT.

Cell: 3.9886 5.0320 7.4024 Å, 90.00 90.10 90.00°
Positions (direct):
K 0.9999 0.0000 0.2481
K 0.0001 0.0000 0.7519
Cr 0.5000 0.5000 0.0000
Cd 0.5000 0.5000 0.5000

Values from the calculation:
Density (g cm⁻³): 2.71
Symmetry: No. 10
Energy of formation (eV/f.u.): 2.483

***

# 3
Computed, not measured: a relaxed structure of K2CrCd at the PBE level of DFT.

Cell: 7.1659 7.1659 6.1284 Å, 115.06 115.06 32.53°
Positions (direct):
K 0.0000 0.0000 0.0000
K 0.2006 0.2006 0.6982
Cr 0.7719 0.7719 0.2690
Cd 0.4354 0.4354 0.4362

Values from the calculation:
Density (g cm⁻³): 2.65
Symmetry: No. 8
Energy of formation (eV/f.u.): 2.052

***

# 4
Computed, not measured: a relaxed structure of K2CrCd at the PBE level of DFT.

Cell: 7.5252 7.5252 7.5252 Å, 100.22 100.22 130.17°
Positions (direct):
K 0.1244 0.6250 0.9994
K 0.3750 0.3744 0.4994
K 0.6256 0.1250 0.0006
K 0.8750 0.8756 0.5006
Cr 0.2500 0.7500 0.5000
Cr 0.5000 0.5000 0.0000
Cd 0.0000 0.0000 0.0000
Cd 0.7500 0.2500 0.5000

Values from the calculation:
Density (g cm⁻³): 2.73
Symmetry: No. 122
Energy of formation (eV/f.u.): 2.729